# ScP

Crystalline ScP at its relaxed geometry (GGA-PBE, Alexandria via LeMat-Bulk).

Results
SG = Cmmm, No. 65
Calculated volume = 36 Å³/cell
D(E_F) = 0.74 states/eV per cell
Energy of formation from the pure elements = -1.063 eV/atom

Lattice parameters (Å, degrees): 3.3131 3.3131 3.4642 90.00 90.00 107.42
Closest atoms and distances in Å follow each position.
Fractional positions:
1 Sc 0.5000 0.5000 0.5000  4 P 2.62
2 P 0.0000 0.0000 0.0000  4 Sc 2.62